Entry 1:
{
  "formula": "PuMgCrOs",
  "functional": "PBE",
  "state": "optimized geometry",
  "lattice": [[-3.6448, -1.1647, 2.5321], [-0.7539, -4.4033, 1.0466], [0.5744, -1.4645, 4.3103]],
  "species": ["Cr", "Mg", "Os", "Pu"],
  "frac_coords": [[0.2500, 0.2500, 0.2500], [0.0000, 0.0000, 0.0000], [0.7500, 0.7500, 0.7500], [0.5000, 0.5000, 0.5000]],
  "delta_e_f_ev_per_atom": 0.30,
  "total_energy_ev_per_cell": -35.574,
  "total_magnetization_mub_per_atom": 1.568,
  "dos_at_fermi_per_ev_cell": 3.93,
  "volume_a3_per_atom": 17.08,
  "sg": "No. 216"
}


Entry 2:
{
  "formula": "SiRu2Br",
  "functional": "PBE",
  "state": "optimized geometry",
  "lattice": [[-3.4721, 0.5859, 0.7385], [-0.1698, -2.6583, 1.3109], [1.7569, 3.7909, 5.2524]],
  "species": ["Br", "Ru", "Ru", "Si"],
  "frac_coords": [[0.5000, 0.7500, 0.7500], [0.0000, 0.8883, 0.0774], [0.0000, 0.6117, 0.4226], [0.5000, 0.2500, 0.2500]],
  "raw_formation_energy_ev_per_fu": 1.01,
  "total_energy_ev_per_cell": -24.634,
  "total_magnetization_mub_per_atom": 0.000,
  "dos_at_fermi_per_ev_cell": 4.07,
  "volume_a3_per_atom": 17.64,
  "de_polymorph_ev_per_atom": 0.188,
  "sg": "No. 10"
}